Entry 1:
The following is a DFT calculation (PBE) of a geometry-optimized AlOs structure.

As for the formation energy: -0.155 eV/atom. The density of states at the Fermi level is 0.70 states/eV/f.u.

The space group is P2_12_12_1 (No. 19) and the conventional cell measures 4.579, 7.181 and 7.316 Å, with angles of 90.00, 90.00 and 90.00 degrees. The distinct sites, in fractional coordinates, are Al at (0.134, 0.057, 0.080), Al at (0.137, 0.285, 0.778), Os at (0.121, 0.430, 0.103) and Os at (0.149, 0.255, 0.409).

Entry 2:
The following is a DFT calculation (PBE) of a geometry-optimized CaTiO3 structure.

The final energy is -8.09 eV/atom. The density of states at the Fermi level is 0.00 states/eV/f.u.

The space group is Pnma (No. 62) and the conventional cell measures 5.506, 7.693 and 5.406 Å, with angles of 90.00, 90.00 and 90.00 degrees. The distinct sites, in fractional coordinates, are Ca at (0.043, 0.250, 0.009), Ti at (0.000, 0.000, 0.500), O at (0.020, 0.750, 0.422) and O at (0.210, 0.541, 0.791).